{
  "formula": "NaMoF3",
  "functional": "PBE+U",
  "state": "relaxed",
  "lattice": [[4.093, 0.000, 0.000], [0.000, 4.093, 0.000], [0.000, 0.000, 4.093]],
  "species": ["Na", "Mo", "F", "F", "F"],
  "fractional_positions": [[0.000, 0.000, 0.000], [0.500, 0.500, 0.500], [0.000, 0.500, 0.000], [0.000, 0.000, 0.500], [0.500, 0.000, 0.000]],
  "dos_at_fermi_per_ev_fu": 6.33,
  "density_g_cm3": 4.26,
  "e_above_lowest_polymorph_mev_per_atom": 504,
  "dft_energy_ev_per_cell": -21.64
}